# GaNi3O | the Alexandria database | GGA+U | relaxed
data_GaNi3O
_chemical_formula_sum 'Ga1 Ni3 O1'
_space_group_name_H-M_alt 'P m -3 m'
_space_group_IT_number 221
_space_group_name_Hall '-P 4 2 3'
_cell_length_a 3.956
_cell_length_b 3.956
_cell_length_c 3.956
_cell_angle_alpha 90.00
_cell_angle_beta 90.00
_cell_angle_gamma 90.00
loop_
_atom_site_label
_atom_site_type_symbol
_atom_site_fract_x
_atom_site_fract_y
_atom_site_fract_z
Ga1 Ga 0.000 0.000 0.000
Ni1 Ni 0.000 0.500 0.500
O1 O 0.500 0.500 0.500
# energy above the most stable polymorph in this dataset: 0.0 kJ/mol of atoms